# 1
Here is a geometry-optimized MgInSCl2 structure from Alexandria. Energies are from PBE-GGA.

a b c (Å): 4.760 4.760 5.327
angles (deg): 90.00 90.00 90.00
Fractional positions:
Cl: 0.000 0.500 0.000
S: 0.000 0.000 0.500
Mg: 0.000 0.000 0.000
Cl: 0.500 0.000 0.000
In: 0.500 0.500 0.500

Raw formation energy, eV per atom: -0.900
Total magnetic moment, μB/atom: 0.000
E above lowest polymorph, kcal/mol of atoms: 0.000
VASP energy, eV for the cell shown: -16.65
Fermi-level density of states, states/eV per atom: 0.253


# 2
Here is a geometry-optimized Ce2As4IrRh3 structure from Alexandria. Energies are from PBE-GGA.

a b c (Å): 4.278 4.278 10.007
angles (deg): 90.00 90.00 90.00
Site moments in Bohr magnetons follow the coordinates.
Fractional positions:
Rh: 0.500 0.000 0.878  -0.02
As: 0.500 0.000 0.638  0.00
Ce: 0.000 0.500 0.753  0.37
As: 0.000 0.500 0.362  0.00
Rh: 0.000 0.000 0.500  0.00
Ir: 0.500 0.500 0.500  -0.01
Rh: 0.000 0.500 0.122  -0.02
As: 0.500 0.500 0.000  -0.01
Ce: 0.500 0.000 0.247  0.37
As: 0.000 0.000 0.000  -0.01

Total magnetic moment, μB/atom: 0.068
VASP energy, eV for the cell shown: -70.18
Energy of formation, eV/atom: -0.880
Fermi-level density of states, states/eV per atom: 1.097


# 3
Here is a geometry-optimized SrBi2SeBr structure from Alexandria. Energies are from PBE-GGA.

a b c (Å): 5.566 6.119 5.566
angles (deg): 90.00 90.00 90.00
Fractional positions:
Bi: 0.500 0.000 0.000
Br: 0.500 0.500 0.500
Bi: 0.000 0.000 0.500
Sr: 0.000 0.500 0.000
Se: 0.000 0.000 0.000

Raw formation energy, eV per atom: -0.326
Total magnetic moment, μB/atom: 0.000
VASP energy, eV for the cell shown: -16.23
Fermi-level density of states, states/eV per atom: 1.047